1.
Here is a relaxed Y2SnS6 crystal from Alexandria via LeMat-Bulk. Energies are from PBE-GGA.

Results
Its uncorrected formation energy is -892 kJ/mol of formula units. Its space group is P2_1/c (14).

Unit cell a=6.6373 b=7.1436 c=10.3194 alpha=90.00 beta=124.32 gamma=90.00
Closest atoms and distances in Å follow each position.
Sites, in units of the cell vectors:
Y1 0.1982 0.1279 0.2329  7 S 2.73-2.94
Y2 0.1982 0.3721 0.7329  7 S 2.73-2.94
Y3 0.8018 0.6279 0.2671  7 S 2.73-2.94
Y4 0.8018 0.8721 0.7671  7 S 2.73-2.94
Sn1 0.5000 0.0000 0.0000  6 S 2.52-2.68
Sn2 0.5000 0.5000 0.5000  6 S 2.52-2.68
S1 0.1070 0.1693 0.9247  1 Sn 2.57, 2 Y 2.75-2.78
S2 0.1070 0.3307 0.4247  1 Sn 2.57, 2 Y 2.75-2.78
S3 0.2694 0.6725 0.9497  1 Sn 2.68, 1 S 2.84, 2 Y 2.94
S4 0.2694 0.8275 0.4497  1 Sn 2.68, 1 S 2.84, 2 Y 2.94
S5 0.3912 0.0259 0.7236  1 Sn 2.52, 2 Y 2.73-2.81
S6 0.3912 0.4741 0.2236  1 Sn 2.52, 2 Y 2.73-2.81
S7 0.6088 0.5259 0.7764  1 Sn 2.52, 2 Y 2.73-2.81
S8 0.6088 0.9741 0.2764  1 Sn 2.52, 2 Y 2.73-2.81
S9 0.7306 0.1725 0.5503  1 Sn 2.68, 1 S 2.84, 2 Y 2.94
S10 0.7306 0.3275 0.0503  1 Sn 2.68, 1 S 2.84, 2 Y 2.94
S11 0.8930 0.6693 0.5753  1 Sn 2.57, 2 Y 2.75-2.78
S12 0.8930 0.8307 0.0753  1 Sn 2.57, 2 Y 2.75-2.78

=====

2.
Here is a relaxed PmEr2In3Te6 crystal from Alexandria via LeMat-Bulk. Energies are from PBE-GGA.

Results
Its uncorrected formation energy is -1117 kJ/mol of formula units. Its space group is C2/m (12).

Unit cell a=7.6641 b=7.6641 c=8.5048 alpha=98.64 beta=98.64 gamma=119.99
Closest atoms and distances in Å follow each position.
Sites, in units of the cell vectors:
Pm1 0.0000 0.0000 0.0000  6 Te 3.16-3.17
Er1 0.3330 0.6670 0.0000  6 Te 3.08-3.09
Er2 0.6670 0.3330 0.0000  6 Te 3.08-3.09
In1 0.1643 0.8357 0.5000  6 Te 3.39-3.44
In2 0.5000 0.5000 0.5000  6 Te 3.38-3.44
In3 0.8357 0.1643 0.5000  6 Te 3.39-3.44
Te1 0.0736 0.4148 0.2203  2 Er 3.09, 1 Pm 3.17, 3 In 3.39-3.44
Te2 0.2688 0.2688 0.7822  2 Er 3.08, 1 Pm 3.16, 3 In 3.38-3.43
Te3 0.4148 0.0736 0.2203  2 Er 3.09, 1 Pm 3.17, 3 In 3.39-3.44
Te4 0.5852 0.9264 0.7797  2 Er 3.09, 1 Pm 3.17, 3 In 3.39-3.44
Te5 0.7312 0.7312 0.2178  2 Er 3.08, 1 Pm 3.16, 3 In 3.38-3.43
Te6 0.9264 0.5852 0.7797  2 Er 3.09, 1 Pm 3.17, 3 In 3.39-3.44

=====

3.
Here is a relaxed CaTlZnTc2 crystal from Alexandria via LeMat-Bulk. Energies are from PBE-GGA.

Results
Its space group is P4/mmm (123).

Unit cell a=5.1401 b=5.1401 c=5.5993 alpha=90.00 beta=90.00 gamma=90.00
Closest atoms and distances in Å follow each position.
Sites, in units of the cell vectors:
Ca1 0.0000 0.0000 0.0000  2 Tl 2.80
Tl1 0.0000 0.0000 0.5000  4 Tc 2.57, 2 Ca 2.80
Zn1 0.5000 0.5000 0.0000  4 Ca 3.63, 8 Tc 3.80
Tc1 0.0000 0.5000 0.5000  2 Tl 2.57
Tc2 0.5000 0.0000 0.5000  2 Tl 2.57

=====

4.
Here is a relaxed Sm4InGaO crystal from Alexandria via LeMat-Bulk. Energies are from PBE-GGA.

Results
Its uncorrected formation energy is -734 kJ/mol of formula units. Its space group is Cmcm (63).

Unit cell a=8.9315 b=8.9315 c=6.6678 alpha=90.00 beta=90.00 gamma=136.29
Closest atoms and distances in Å follow each position.
Sites, in units of the cell vectors:
Sm1 0.0000 0.5000 0.0000  2 O 2.37
Sm2 0.0000 0.5000 0.5000  2 O 2.37
Sm3 0.0645 0.9355 0.7500  1 Ga 3.03, 1 O 3.33
Sm4 0.4183 0.5817 0.7500  1 O 2.54
Sm5 0.5000 0.0000 0.0000  2 O 2.37
Sm6 0.5000 0.0000 0.5000  2 O 2.37
Sm7 0.5817 0.4183 0.2500  1 O 2.54
Sm8 0.9355 0.0645 0.2500  1 Ga 3.03, 1 O 3.33
In1 0.3904 0.6096 0.2500  9 Sm 3.17-3.41
In2 0.6096 0.3904 0.7500  9 Sm 3.17-3.41
Ga1 0.1181 0.8819 0.2500  7 Sm 3.03-3.38
Ga2 0.8819 0.1181 0.7500  7 Sm 3.03-3.38
O1 0.2653 0.7347 0.7500  5 Sm 2.37-2.54
O2 0.7347 0.2653 0.2500  5 Sm 2.37-2.54

=====

5.
Here is a relaxed LiMg crystal from Alexandria via LeMat-Bulk. Energies are from PBE-GGA.

Results
Its space group is P2_12_12_1 (19).

Unit cell a=5.4927 b=6.0598 c=10.0700 alpha=90.00 beta=90.00 gamma=90.00
Closest atoms and distances in Å follow each position.
Sites, in units of the cell vectors:
Li1 0.0004 0.1242 0.2504  5 Li 3.00-3.18, 7 Mg 3.05-3.21
Li2 0.9996 0.6242 0.2496  5 Li 3.00-3.18, 7 Mg 3.05-3.21
Li3 0.1921 0.3796 0.9951  5 Li 3.00-3.18, 7 Mg 3.00-3.12
Li4 0.3079 0.6204 0.4951  5 Li 3.00-3.18, 7 Mg 3.00-3.12
Li5 0.5004 0.3758 0.7496  5 Li 3.00-3.18, 7 Mg 3.05-3.21
Li6 0.4996 0.8758 0.7504  5 Li 3.00-3.18, 7 Mg 3.05-3.21
Li7 0.6921 0.1204 0.0049  5 Li 3.00-3.18, 7 Mg 3.00-3.12
Li8 0.8079 0.8796 0.5049  5 Li 3.00-3.18, 7 Mg 3.00-3.12
Mg1 0.0099 0.6335 0.7447  7 Li 3.00-3.21, 5 Mg 3.03-3.17
Mg2 0.1940 0.8810 0.0033  7 Li 3.02-3.12, 5 Mg 3.08-3.17
Mg3 0.3060 0.1190 0.5033  7 Li 3.02-3.12, 5 Mg 3.08-3.17
Mg4 0.4901 0.3665 0.2447  7 Li 3.00-3.21, 5 Mg 3.03-3.17
Mg5 0.5099 0.8665 0.2553  7 Li 3.00-3.21, 5 Mg 3.03-3.17
Mg6 0.6940 0.6190 0.9967  7 Li 3.02-3.12, 5 Mg 3.08-3.17
Mg7 0.8060 0.3810 0.4967  7 Li 3.02-3.12, 5 Mg 3.08-3.17
Mg8 0.9901 0.1335 0.7553  7 Li 3.00-3.21, 5 Mg 3.03-3.17

=====

6.
Here is a relaxed CaYTh2 crystal from Alexandria via LeMat-Bulk. Energies are from PBE-GGA.

Results
Its space group is P4/mmm (123). For the excess energy over the best structure of this formula in the dataset, the calculation gives 53.2 meV per atom.

Unit cell a=5.0345 b=5.0345 c=5.2563 alpha=90.00 beta=90.00 gamma=90.00
Closest atoms and distances in Å follow each position.
Sites, in units of the cell vectors:
Ca1 0.0000 0.0000 0.0000  4 Y 3.56, 8 Th 3.64
Y1 0.5000 0.5000 0.0000  4 Ca 3.56, 8 Th 3.64
Th1 0.0000 0.5000 0.5000  4 Th 3.56, 4 Ca 3.64, 4 Y 3.64
Th2 0.5000 0.0000 0.5000  4 Th 3.56, 4 Ca 3.64, 4 Y 3.64

=====

7.
Here is a relaxed Ta2InTc crystal from Alexandria via LeMat-Bulk. Energies are from PBE-GGA.

Results
Its space group is Cmmm (65).

Unit cell a=2.9151 b=2.9151 c=9.1637 alpha=90.00 beta=90.00 gamma=111.25
Closest atoms and distances in Å follow each position.
Sites, in units of the cell vectors:
Ta1 0.0000 0.0000 0.2285  2 Tc 2.66, 4 Ta 2.92
Ta2 0.0000 0.0000 0.7715  2 Tc 2.66, 4 Ta 2.92
In1 0.5000 0.5000 0.5000  4 In 2.92, 4 Ta 2.98
Tc1 0.5000 0.5000 0.0000  4 Ta 2.66, 4 Tc 2.92

=====

8.
Here is a relaxed YIn2Si2 crystal from Alexandria via LeMat-Bulk. Energies are from PBE-GGA.

Results
Its uncorrected formation energy is -18 kJ/mol of formula units. Its space group is I4/mmm (139).

Unit cell a=7.2839 b=7.2839 c=7.2839 alpha=146.79 beta=146.79 gamma=47.67
Closest atoms and distances in Å follow each position.
Sites, in units of the cell vectors:
Y1 0.0000 0.0000 0.0000  8 Si 3.16
In1 0.2500 0.7500 0.5000  4 In 2.94, 4 Si 3.02
In2 0.7500 0.2500 0.5000  4 In 2.94, 4 Si 3.02
Si1 0.4139 0.4139 0.0000  1 Si 2.29
Si2 0.5861 0.5861 0.0000  1 Si 2.29

=====

no.,raw total energy (eV/atom)
1,-5.660
2,-4.377
3,-3.553
4,-5.316
5,-1.788
6,-5.643
7,-9.132
8,-4.595